(1)
AgHgRh after structural relaxation. Source: the Alexandria database, functional PBE.

a = 5.036 Å, b = 5.036 Å, c = 5.036 Å
α = 144.94°, β = 133.52°, γ = 59.53°
Atoms (fractional coordinates):
Hg 0.671 0.671 0.000
Rh 0.332 0.332 0.000
Ag 0.997 0.997 0.000

Values from the calculation:
Energy relative to the elements (kJ/mol of atoms): 21
Space group: Imm2

---

(2)
Ag2HgRh after structural relaxation. Source: the Alexandria database, functional PBE.

a = 5.018 Å, b = 5.018 Å, c = 4.994 Å
α = 78.28°, β = 78.28°, γ = 35.24°
Atoms (fractional coordinates):
Rh 0.251 0.251 0.260
Hg 0.505 0.505 0.482
Ag 0.749 0.749 0.763
Ag 0.996 0.996 0.994

Values from the calculation:
Energy relative to the elements (kJ/mol of atoms): 18
Space group: Cm

---

(3)
Ag2HgRh after structural relaxation. Source: the Alexandria database, functional PBE.

a = 9.835 Å, b = 9.835 Å, c = 9.835 Å
α = 17.06°, β = 17.06°, γ = 17.06°
Each line ends with the local moment (μB).
Atoms (fractional coordinates):
Ag 0.255 0.255 0.255  0.00
Ag 0.745 0.745 0.745  0.00
Rh 0.000 0.000 0.000  0.69
Hg 0.500 0.500 0.500  -0.01

Values from the calculation:
Energy relative to the elements (kJ/mol of atoms): 19
Space group: R-3m

---

(4)
AgHgRh after structural relaxation. Source: the Alexandria database, functional PBE.

a = 7.625 Å, b = 7.371 Å, c = 2.890 Å
α = 83.89°, β = 73.97°, γ = 22.14°
Atoms (fractional coordinates):
Rh 0.666 0.666 0.334
Ag 0.005 0.005 0.995
Hg 0.328 0.328 0.672

Values from the calculation:
Energy relative to the elements (kJ/mol of atoms): 28
Space group: Fmm2

---

(5)
Ag2HgRh after structural relaxation. Source: the Alexandria database, functional PBE.

a = 5.140 Å, b = 5.140 Å, c = 4.806 Å
α = 77.83°, β = 77.83°, γ = 34.88°
Atoms (fractional coordinates):
Ag 0.244 0.244 0.760
Ag 0.756 0.756 0.240
Rh 0.500 0.500 0.000
Hg 0.000 0.000 0.500

Values from the calculation:
Energy relative to the elements (kJ/mol of atoms): 14
Space group: C2/m

---

(6)
Ag2HgRh after structural relaxation. Source: the Alexandria database, functional PBE.

a = 2.843 Å, b = 2.843 Å, c = 9.838 Å
α = 90.00°, β = 90.00°, γ = 114.78°
Each line ends with the local moment (μB).
Atoms (fractional coordinates):
Hg 0.500 0.500 0.500  0.00
Rh 0.500 0.500 0.000  0.35
Ag 0.000 0.000 0.765  0.00
Ag 0.000 0.000 0.235  0.00

Values from the calculation:
Energy relative to the elements (kJ/mol of atoms): 25
Space group: Cmmm

---

Which uncorrected energy belongs to each record? In order, -3.2885 -3.1527 -3.1384 -3.2095 -3.1915 -3.0779 eV/atom.